[1]
! PBE-GGA Pm2SmIn, optimized geometry; values from VASP
&SYSTEM
  ibrav = 0, nat = 4, ntyp = 3
/
ATOMIC_SPECIES
Pm 145.00 Pm.upf
Sm 150.36 Sm.upf
In 114.82 In.upf
ATOMIC_POSITIONS crystal
Pm 0.257 0.257 0.230
Pm 0.077 0.077 0.769
Sm 0.500 0.500 0.500
In 0.667 0.667 0.000
CELL_PARAMETERS angstrom
3.709 0.000 0.000
1.854 3.212 0.000
1.854 1.071 10.965
! Energy of formation from the pure elements (kJ/mol of formula units): -48
! Relative energy among the computed polymorphs (eV per formula unit): 0.59
! Mass density (kg/m3): 7058
! D(E_F) (states/eV/cell): 5.62

[2]
! PBE-GGA PmSmIn2, optimized geometry; values from VASP
&SYSTEM
  ibrav = 0, nat = 4, ntyp = 3
/
ATOMIC_SPECIES
Pm 145.00 Pm.upf
In 114.82 In.upf
Sm 150.36 Sm.upf
ATOMIC_POSITIONS crystal
Pm 0.500 0.500 0.500
In 0.000 0.000 0.500
In 0.000 0.500 0.000
Sm 0.500 0.000 0.000
CELL_PARAMETERS angstrom
-0.156 3.774 0.678
-4.598 -0.694 2.805
2.882 -0.699 4.550
! Energy of formation from the pure elements (kJ/mol of formula units): -191
! Mass density (kg/m3): 7702
! D(E_F) (states/eV/cell): 1.79

[3]
! PBE-GGA Pm2Sm8In, optimized geometry; values from VASP
&SYSTEM
  ibrav = 0, nat = 11, ntyp = 3
/
ATOMIC_SPECIES
Pm 145.00 Pm.upf
Sm 150.36 Sm.upf
In 114.82 In.upf
ATOMIC_POSITIONS crystal
Pm 0.223 0.635 0.447
Pm 0.777 0.365 0.553
Sm 0.956 0.273 0.912
Sm 0.321 0.091 0.643
Sm 0.411 0.558 0.821
Sm 0.865 0.823 0.729
Sm 0.135 0.177 0.271
Sm 0.589 0.442 0.179
Sm 0.679 0.909 0.357
Sm 0.044 0.727 0.088
In 0.500 0.000 0.000
CELL_PARAMETERS angstrom
-0.096 -4.750 1.690
3.595 -2.480 -6.766
6.869 4.305 4.967
! Energy of formation from the pure elements (kJ/mol of formula units): -68
! Relative energy among the computed polymorphs (eV per formula unit): 0.00
! Mass density (kg/m3): 7439
! D(E_F) (states/eV/cell): 14.24

[4]
! PBE-GGA Pm6SmIn4, optimized geometry; values from VASP
&SYSTEM
  ibrav = 0, nat = 11, ntyp = 3
/
ATOMIC_SPECIES
In 114.82 In.upf
Pm 145.00 Pm.upf
Sm 150.36 Sm.upf
ATOMIC_POSITIONS crystal
In 0.324 0.727 0.727
In 0.000 0.273 0.596
In 0.000 0.596 0.273
In 0.676 0.404 0.404
Pm 0.377 0.471 0.471
Pm 0.623 0.094 0.094
Pm 0.000 0.906 0.529
Pm 0.000 0.529 0.906
Pm 0.500 0.000 0.500
Pm 0.500 0.500 0.000
Sm 0.000 0.000 0.000
CELL_PARAMETERS angstrom
8.172 -0.326 -0.479
-4.067 7.095 0.479
-4.067 -2.163 6.774
! Energy of formation from the pure elements (kJ/mol of formula units): -151
! Mass density (kg/m3): 6554
! D(E_F) (states/eV/cell): 13.58

[5]
! PBE-GGA Pm6Sm5In, optimized geometry; values from VASP
&SYSTEM
  ibrav = 0, nat = 12, ntyp = 3
/
ATOMIC_SPECIES
In 114.82 In.upf
Pm 145.00 Pm.upf
Sm 150.36 Sm.upf
ATOMIC_POSITIONS crystal
In 0.000 0.000 0.000
Pm 0.918 0.674 0.246
Pm 0.407 0.674 0.754
Pm 0.082 0.326 0.754
Pm 0.593 0.326 0.246
Pm 0.757 0.000 0.752
Pm 0.243 0.000 0.248
Sm 0.500 0.000 0.500
Sm 0.168 0.663 0.500
Sm 0.333 0.333 0.000
Sm 0.667 0.667 0.000
Sm 0.832 0.337 0.500
CELL_PARAMETERS angstrom
-4.153 -3.541 2.996
-1.616 -5.554 -2.335
7.274 -6.262 7.057
! Energy of formation from the pure elements (kJ/mol of formula units): -54
! Mass density (kg/m3): 7308
! D(E_F) (states/eV/cell): 14.75

[6]
! PBE-GGA Pm2Sm2In5, optimized geometry; values from VASP
&SYSTEM
  ibrav = 0, nat = 18, ntyp = 3
/
ATOMIC_SPECIES
In 114.82 In.upf
Sm 150.36 Sm.upf
Pm 145.00 Pm.upf
ATOMIC_POSITIONS crystal
In 0.563 0.187 0.698
In 0.437 0.488 0.302
In 0.266 0.731 0.907
In 0.066 0.098 0.500
In 0.734 0.824 0.093
In 0.934 0.598 0.500
In 0.859 0.324 0.093
In 0.364 0.988 0.302
In 0.141 0.231 0.907
In 0.636 0.687 0.698
Sm 0.747 0.879 0.500
Sm 0.000 0.000 0.000
Sm 0.253 0.379 0.500
Sm 0.500 0.500 0.000
Pm 0.654 0.191 0.253
Pm 0.099 0.691 0.253
Pm 0.346 0.938 0.747
Pm 0.901 0.438 0.747
CELL_PARAMETERS angstrom
-1.437 -4.731 -5.335
10.029 -0.813 -1.981
-3.813 -2.628 8.317
! Energy of formation from the pure elements (kJ/mol of formula units): -253
! Mass density (kg/m3): 7254
! D(E_F) (states/eV/cell): 13.96

[7]
! PBE-GGA Pm5Sm3In, optimized geometry; values from VASP
&SYSTEM
  ibrav = 0, nat = 18, ntyp = 3
/
ATOMIC_SPECIES
Pm 145.00 Pm.upf
In 114.82 In.upf
Sm 150.36 Sm.upf
ATOMIC_POSITIONS crystal
Pm 0.981 0.533 0.666
Pm 0.238 0.238 0.870
Pm 0.762 0.762 0.130
Pm 0.533 0.981 0.666
Pm 0.327 0.673 0.000
Pm 0.467 0.019 0.334
Pm 0.498 0.498 0.255
Pm 0.019 0.467 0.334
Pm 0.673 0.327 0.000
Pm 0.502 0.502 0.745
In 0.999 0.999 0.743
In 0.001 0.001 0.257
Sm 0.635 0.635 0.491
Sm 0.000 0.000 0.000
Sm 0.365 0.365 0.509
Sm 0.759 0.759 0.882
Sm 0.000 0.000 0.500
Sm 0.241 0.241 0.118
CELL_PARAMETERS angstrom
6.959 0.103 -0.874
2.004 6.665 -0.874
1.699 1.283 13.393
! Energy of formation from the pure elements (kJ/mol of formula units): 226
! Mass density (kg/m3): 6766
! D(E_F) (states/eV/cell): 24.84

[8]
! PBE-GGA Pm12Sm3In, optimized geometry; values from VASP
&SYSTEM
  ibrav = 0, nat = 16, ntyp = 3
/
ATOMIC_SPECIES
Pm 145.00 Pm.upf
Sm 150.36 Sm.upf
In 114.82 In.upf
ATOMIC_POSITIONS crystal
Pm 0.500 0.000 0.880
Pm 0.000 0.500 0.120
Pm 0.000 0.500 0.373
Pm 0.500 0.500 0.245
Pm 0.000 0.500 0.627
Pm 0.500 0.000 0.627
Pm 0.500 0.500 0.755
Pm 0.000 0.500 0.880
Pm 0.500 0.000 0.373
Pm 0.500 0.000 0.120
Pm 0.500 0.500 0.500
Pm 0.500 0.500 0.000
Sm 0.000 0.000 0.500
Sm 0.000 0.000 0.752
Sm 0.000 0.000 0.248
In 0.000 0.000 0.000
CELL_PARAMETERS angstrom
-0.965 -1.872 -4.624
4.719 -1.870 -0.228
-6.570 -17.618 8.505
! Energy of formation from the pure elements (kJ/mol of formula units): -72
! Mass density (kg/m3): 7186
! D(E_F) (states/eV/cell): 23.12

[9]
! PBE-GGA Pm6Sm3In, optimized geometry; values from VASP
&SYSTEM
  ibrav = 0, nat = 20, ntyp = 3
/
ATOMIC_SPECIES
In 114.82 In.upf
Sm 150.36 Sm.upf
Pm 145.00 Pm.upf
ATOMIC_POSITIONS crystal
In 0.250 0.967 0.271
In 0.750 0.033 0.729
Sm 0.750 0.072 0.107
Sm 0.250 0.928 0.893
Sm 0.250 0.581 0.099
Sm 0.750 0.419 0.901
Sm 0.250 0.369 0.498
Sm 0.750 0.631 0.502
Pm 0.250 0.892 0.540
Pm 0.750 0.814 0.079
Pm 0.250 0.511 0.308
Pm 0.750 0.341 0.115
Pm 0.750 0.756 0.306
Pm 0.250 0.186 0.921
Pm 0.250 0.659 0.885
Pm 0.750 0.489 0.692
Pm 0.250 0.231 0.286
Pm 0.750 0.769 0.714
Pm 0.250 0.244 0.694
Pm 0.750 0.108 0.460
CELL_PARAMETERS angstrom
3.566 0.000 0.000
0.000 13.006 0.734
0.000 -3.589 14.135
! Energy of formation from the pure elements (kJ/mol of formula units): -11
! Mass density (kg/m3): 7172
! D(E_F) (states/eV/cell): 27.63

[10]
! PBE-GGA Pm3Sm4In, optimized geometry; values from VASP
&SYSTEM
  ibrav = 0, nat = 16, ntyp = 3
/
ATOMIC_SPECIES
Pm 145.00 Pm.upf
Sm 150.36 Sm.upf
In 114.82 In.upf
ATOMIC_POSITIONS crystal
Pm 0.157 0.884 0.757
Pm 0.657 0.116 0.257
Pm 0.990 0.127 0.500
Pm 0.490 0.873 0.000
Pm 0.157 0.884 0.243
Pm 0.657 0.116 0.743
Sm 0.497 0.369 0.000
Sm 0.139 0.370 0.767
Sm 0.639 0.630 0.267
Sm 0.139 0.370 0.233
Sm 0.997 0.631 0.500
Sm 0.458 0.373 0.500
Sm 0.958 0.627 0.000
Sm 0.639 0.630 0.733
In 0.980 0.121 0.000
In 0.480 0.879 0.500
CELL_PARAMETERS angstrom
-5.599 2.784 0.524
-1.190 -1.070 -7.029
-4.803 -10.102 2.351
! Energy of formation from the pure elements (kJ/mol of formula units): -79
! Relative energy among the computed polymorphs (eV per formula unit): 0.02
! Mass density (kg/m3): 7394
! D(E_F) (states/eV/cell): 19.44

[11]
! PBE-GGA Pm2Sm3In, optimized geometry; values from VASP
&SYSTEM
  ibrav = 0, nat = 6, ntyp = 3
/
ATOMIC_SPECIES
Pm 145.00 Pm.upf
Sm 150.36 Sm.upf
In 114.82 In.upf
ATOMIC_POSITIONS crystal
Pm 0.000 0.338 0.676
Pm 0.000 0.662 0.324
Sm 0.500 0.164 0.328
Sm 0.500 0.836 0.672
Sm 0.500 0.500 0.000
In 0.000 0.000 0.000
CELL_PARAMETERS angstrom
4.960 0.000 0.000
0.000 4.687 -1.585
0.000 0.131 8.110
! Energy of formation from the pure elements (kJ/mol of formula units): -88
! Relative energy among the computed polymorphs (eV per formula unit): 0.00
! Mass density (kg/m3): 7497
! D(E_F) (states/eV/cell): 7.66

[12]
! PBE-GGA PmSm5In3, optimized geometry; values from VASP
&SYSTEM
  ibrav = 0, nat = 18, ntyp = 3
/
ATOMIC_SPECIES
Sm 150.36 Sm.upf
In 114.82 In.upf
Pm 145.00 Pm.upf
ATOMIC_POSITIONS crystal
Sm 0.000 0.667 0.333
Sm 0.250 0.333 0.333
Sm 0.750 0.667 0.667
Sm 0.250 0.000 0.667
Sm 0.250 0.667 0.000
Sm 0.750 0.333 0.000
Sm 0.500 0.667 0.333
Sm 0.500 0.333 0.667
Sm 0.000 0.333 0.667
Sm 0.750 0.000 0.333
In 0.750 0.000 0.665
In 0.250 0.335 0.000
In 0.750 0.335 0.335
In 0.750 0.665 0.000
In 0.250 0.000 0.335
In 0.250 0.665 0.665
Pm 0.500 0.000 0.000
Pm 0.000 0.000 0.000
CELL_PARAMETERS angstrom
6.861 0.000 0.000
0.000 9.548 0.000
0.000 -4.774 8.268
! Energy of formation from the pure elements (kJ/mol of formula units): -301
! Mass density (kg/m3): 7611
! D(E_F) (states/eV/cell): 25.20

[13]
! PBE-GGA Pm2SmIn3, optimized geometry; values from VASP
&SYSTEM
  ibrav = 0, nat = 12, ntyp = 3
/
ATOMIC_SPECIES
Pm 145.00 Pm.upf
In 114.82 In.upf
Sm 150.36 Sm.upf
ATOMIC_POSITIONS crystal
Pm 0.000 0.000 0.500
Pm 0.666 0.667 0.500
Pm 0.334 0.333 0.500
Pm 0.000 0.000 0.000
In 0.833 0.334 0.751
In 0.167 0.666 0.751
In 0.167 0.666 0.249
In 0.499 0.000 0.249
In 0.833 0.334 0.249
In 0.501 0.000 0.751
Sm 0.333 0.334 0.000
Sm 0.667 0.666 0.000
CELL_PARAMETERS angstrom
5.438 0.000 0.020
2.719 8.158 0.010
-0.030 0.000 7.680
! Energy of formation from the pure elements (kJ/mol of formula units): -288
! Relative energy among the computed polymorphs (eV per formula unit): 0.00
! Mass density (kg/m3): 7650
! D(E_F) (states/eV/cell): 5.94

[14]
! PBE-GGA PmSm5In2, optimized geometry; values from VASP
&SYSTEM
  ibrav = 0, nat = 16, ntyp = 3
/
ATOMIC_SPECIES
Sm 150.36 Sm.upf
In 114.82 In.upf
Pm 145.00 Pm.upf
ATOMIC_POSITIONS crystal
Sm 0.039 0.078 0.395
Sm 0.642 0.285 0.528
Sm 0.541 0.081 0.250
Sm 0.961 0.922 0.895
Sm 0.961 0.922 0.605
Sm 0.642 0.285 0.972
Sm 0.039 0.078 0.105
Sm 0.358 0.715 0.472
Sm 0.459 0.919 0.750
Sm 0.358 0.715 0.028
In 0.779 0.557 0.143
In 0.779 0.557 0.357
In 0.221 0.443 0.857
In 0.221 0.443 0.643
Pm 0.739 0.479 0.750
Pm 0.261 0.521 0.250
CELL_PARAMETERS angstrom
5.342 0.000 0.000
-2.671 6.062 0.000
0.000 0.000 15.832
! Energy of formation from the pure elements (kJ/mol of formula units): -119
! Relative energy among the computed polymorphs (eV per formula unit): 0.95
! Mass density (kg/m3): 7297
! D(E_F) (states/eV/cell): 17.68

[15]
! PBE-GGA Pm5SmIn3, optimized geometry; values from VASP
&SYSTEM
  ibrav = 0, nat = 18, ntyp = 3
/
ATOMIC_SPECIES
Pm 145.00 Pm.upf
In 114.82 In.upf
Sm 150.36 Sm.upf
ATOMIC_POSITIONS crystal
Pm 0.250 0.000 0.666
Pm 0.000 0.667 0.333
Pm 0.500 0.333 0.667
Pm 0.750 0.666 0.666
Pm 0.500 0.667 0.333
Pm 0.250 0.334 0.334
Pm 0.250 0.666 0.000
Pm 0.750 0.334 0.000
Pm 0.000 0.333 0.667
Pm 0.750 0.000 0.334
In 0.750 0.668 0.000
In 0.750 0.000 0.668
In 0.750 0.332 0.332
In 0.250 0.000 0.332
In 0.250 0.668 0.668
In 0.250 0.332 0.000
Sm 0.000 0.000 0.000
Sm 0.500 0.000 0.000
CELL_PARAMETERS angstrom
-6.440 -2.086 1.285
2.931 -9.113 -0.104
0.034 4.946 8.196
! Energy of formation from the pure elements (kJ/mol of formula units): -301
! Mass density (kg/m3): 7408
! D(E_F) (states/eV/cell): 25.37

[16]
! PBE-GGA Pm3SmIn, optimized geometry; values from VASP
&SYSTEM
  ibrav = 0, nat = 10, ntyp = 3
/
ATOMIC_SPECIES
Sm 150.36 Sm.upf
In 114.82 In.upf
Pm 145.00 Pm.upf
ATOMIC_POSITIONS crystal
Sm 0.500 0.500 0.500
Sm 0.000 0.000 0.000
In 0.750 0.750 0.750
In 0.250 0.250 0.250
Pm 0.083 0.750 0.750
Pm 0.417 0.083 0.750
Pm 0.917 0.250 0.250
Pm 0.250 0.583 0.250
Pm 0.750 0.417 0.750
Pm 0.583 0.917 0.250
CELL_PARAMETERS angstrom
9.580 0.000 0.000
4.790 8.296 0.000
4.790 2.765 4.131
! Energy of formation from the pure elements (kJ/mol of formula units): -22
! Relative energy among the computed polymorphs (eV per formula unit): 0.73
! Mass density (kg/m3): 7082
! D(E_F) (states/eV/cell): 14.77

[17]
! PBE-GGA Pm4Sm2In, optimized geometry; values from VASP
&SYSTEM
  ibrav = 0, nat = 14, ntyp = 3
/
ATOMIC_SPECIES
Pm 145.00 Pm.upf
Sm 150.36 Sm.upf
In 114.82 In.upf
ATOMIC_POSITIONS crystal
Pm 0.261 0.237 0.099
Pm 0.739 0.763 0.901
Pm 0.154 0.034 0.572
Pm 0.346 0.534 0.572
Pm 0.761 0.263 0.901
Pm 0.846 0.966 0.428
Pm 0.654 0.466 0.428
Pm 0.239 0.737 0.099
Sm 0.035 0.540 0.748
Sm 0.965 0.460 0.252
Sm 0.535 0.960 0.252
Sm 0.465 0.040 0.748
In 0.000 0.000 0.000
In 0.500 0.500 0.000
CELL_PARAMETERS angstrom
10.997 0.000 0.000
0.000 6.469 -1.170
0.000 1.126 6.312
! Energy of formation from the pure elements (kJ/mol of formula units): -23
! Relative energy among the computed polymorphs (eV per formula unit): 0.10
! Mass density (kg/m3): 7133
! D(E_F) (states/eV/cell): 20.48

[18]
! PBE-GGA PmSm3In4, optimized geometry; values from VASP
&SYSTEM
  ibrav = 0, nat = 8, ntyp = 3
/
ATOMIC_SPECIES
In 114.82 In.upf
Sm 150.36 Sm.upf
Pm 145.00 Pm.upf
ATOMIC_POSITIONS crystal
In 0.000 0.000 0.126
In 0.000 0.000 0.874
In 0.000 0.000 0.375
In 0.000 0.000 0.625
Sm 0.500 0.500 0.500
Sm 0.500 0.500 0.749
Sm 0.500 0.500 0.251
Pm 0.500 0.500 0.000
CELL_PARAMETERS angstrom
3.833 0.000 0.000
0.000 3.833 0.000
0.000 0.000 15.370
! Energy of formation from the pure elements (kJ/mol of formula units): -381
! Relative energy among the computed polymorphs (eV per formula unit): 0.00
! Mass density (kg/m3): 7760
! D(E_F) (states/eV/cell): 4.91

[19]
! PBE-GGA Pm2SmIn, optimized geometry; values from VASP
&SYSTEM
  ibrav = 0, nat = 4, ntyp = 3
/
ATOMIC_SPECIES
Pm 145.00 Pm.upf
Sm 150.36 Sm.upf
In 114.82 In.upf
ATOMIC_POSITIONS crystal
Pm 0.750 0.750 0.750
Pm 0.250 0.250 0.250
Sm 0.000 0.000 0.000
In 0.500 0.500 0.500
CELL_PARAMETERS angstrom
-0.203 4.527 3.243
-4.875 2.521 0.962
-2.339 -0.293 5.049
! Energy of formation from the pure elements (kJ/mol of formula units): -52
! Relative energy among the computed polymorphs (eV per formula unit): 0.55
! Mass density (kg/m3): 7535
! D(E_F) (states/eV/cell): 5.87

[20]
! PBE-GGA Pm5Sm6In, optimized geometry; values from VASP
&SYSTEM
  ibrav = 0, nat = 12, ntyp = 3
/
ATOMIC_SPECIES
Sm 150.36 Sm.upf
Pm 145.00 Pm.upf
In 114.82 In.upf
ATOMIC_POSITIONS crystal
Sm 0.743 0.243 0.243
Sm 0.755 0.591 0.920
Sm 0.245 0.409 0.080
Sm 0.245 0.080 0.409
Sm 0.755 0.920 0.591
Sm 0.257 0.757 0.757
Pm 0.500 0.500 0.500
Pm 0.500 0.167 0.833
Pm 0.000 0.337 0.663
Pm 0.500 0.833 0.167
Pm 0.000 0.663 0.337
In 0.000 0.000 0.000
CELL_PARAMETERS angstrom
-0.018 -2.647 -4.292
4.566 -5.488 6.326
-9.123 0.394 2.757
! Energy of formation from the pure elements (kJ/mol of formula units): -68
! Mass density (kg/m3): 7350
! D(E_F) (states/eV/cell): 14.87